[1]
Material: Na2AcBi2
Method: DFT, GGA-PBE
State: relaxed

Energy (Ry/atom): -0.252
ΔE_f (eV/atom): -0.53

Lattice parameters (Å, degrees): 5.1713 5.1713 21.7228 90.00 90.00 120.00
Element x y z (fractional)
Na (0.0000, 0.0000, 0.1974)
Na (0.0000, 0.0000, 0.8026)
Na (0.3333, 0.6667, 0.4692)
Na (0.3333, 0.6667, 0.8641)
Na (0.6667, 0.3333, 0.1359)
Na (0.6667, 0.3333, 0.5308)
Ac (0.0000, 0.0000, 0.0000)
Ac (0.3333, 0.6667, 0.6667)
Ac (0.6667, 0.3333, 0.3333)
Bi (0.0000, 0.0000, 0.4168)
Bi (0.0000, 0.0000, 0.5832)
Bi (0.3333, 0.6667, 0.0835)
Bi (0.3333, 0.6667, 0.2498)
Bi (0.6667, 0.3333, 0.7502)
Bi (0.6667, 0.3333, 0.9165)



[2]
Material: Na3AcBi3
Method: DFT, GGA-PBE
State: relaxed

Energy (Ry/atom): -0.233
ΔE_f (eV/atom): -0.36

Lattice parameters (Å, degrees): 8.3859 8.3859 8.3859 74.33 74.33 74.33
Element x y z (fractional)
Na (0.0906, 0.3354, 0.8263)
Na (0.1737, 0.9094, 0.6646)
Na (0.3354, 0.8263, 0.0906)
Na (0.6646, 0.1737, 0.9094)
Na (0.8263, 0.0906, 0.3354)
Na (0.9094, 0.6646, 0.1737)
Ac (0.3092, 0.3092, 0.3092)
Ac (0.6908, 0.6908, 0.6908)
Bi (0.1034, 0.6536, 0.4755)
Bi (0.3464, 0.5245, 0.8966)
Bi (0.4755, 0.1034, 0.6536)
Bi (0.5245, 0.8966, 0.3464)
Bi (0.6536, 0.4755, 0.1034)
Bi (0.8966, 0.3464, 0.5245)



[3]
Material: NaAcBi3
Method: DFT, GGA-PBE
State: relaxed

Energy (Ry/atom): -0.278
ΔE_f (eV/atom): -0.37

Lattice parameters (Å, degrees): 9.2918 7.1100 11.3435 90.00 90.00 90.00
Element x y z (fractional)
Na (0.0987, 0.2500, 0.0000)
Na (0.0987, 0.2500, 0.5000)
Na (0.9013, 0.7500, 0.0000)
Na (0.9013, 0.7500, 0.5000)
Ac (0.3141, 0.6110, 0.2500)
Ac (0.3141, 0.8890, 0.7500)
Ac (0.6859, 0.1110, 0.2500)
Ac (0.6859, 0.3890, 0.7500)
Bi (0.0177, 0.6014, 0.7500)
Bi (0.0177, 0.8986, 0.2500)
Bi (0.3161, 0.1244, 0.2500)
Bi (0.3161, 0.3756, 0.7500)
Bi (0.4703, 0.2500, 0.0000)
Bi (0.4703, 0.2500, 0.5000)
Bi (0.5297, 0.7500, 0.0000)
Bi (0.5297, 0.7500, 0.5000)
Bi (0.6839, 0.6244, 0.2500)
Bi (0.6839, 0.8756, 0.7500)
Bi (0.9823, 0.1014, 0.7500)
Bi (0.9823, 0.3986, 0.2500)



Which formula does entry 1 have?
Na2AcBi2